1.
DFT (PBE) results for a relaxed Ho3ErS4 crystal.

As for the size of the total moment: 0.00 Bohr magnetons per cell. The value obtained for the energy above the lowest structure with this stoichiometry is 0.9 kJ per mole of atoms.

It has space group Pm-3m (No. 221), with a = 5.486 Å, b = 5.486 Å, c = 5.486 Å, α = 90.00°, β = 90.00° and γ = 90.00°. The asymmetric unit holds Ho at (0.000, 0.000, 0.500), Er at (0.500, 0.500, 0.500), S at (0.000, 0.000, 0.000) and S at (0.000, 0.500, 0.500).

=====

2.
DFT (PBE) results for a relaxed RbPrAgTe2 crystal.

As for the size of the total moment: 0.00 Bohr magnetons per cell. The value obtained for the total energy is -38.05 eV/cell.

It has space group P2/c (No. 13), with a = 8.615 Å, b = 4.992 Å, c = 9.089 Å, α = 90.00°, β = 95.93° and γ = 90.00°. The asymmetric unit holds Rb at (0.000, 0.105, 0.250), Pr at (0.500, 0.495, 0.750), Ag at (0.500, 0.000, 0.000) and Te at (0.255, 0.372, 0.977).

=====

3.
DFT (PBE) results for a relaxed V2ZnPd8 crystal.

As for the size of the total moment: 4.15 Bohr magnetons per cell. Its formation energy is -0.264 eV per atom.

It has space group C2/m (No. 12), with a = 13.932 Å, b = 3.939 Å, c = 6.178 Å, α = 90.00°, β = 105.20° and γ = 90.00°. The asymmetric unit holds V at (0.224, 0.000, 0.150), Zn at (0.000, 0.500, 0.500), Pd at (0.045, 0.000, 0.232), Pd at (0.099, 0.500, 0.963), Pd at (0.146, 0.000, 0.703) and Pd at (0.180, 0.500, 0.418).

=====

4.
DFT (PBE) results for a relaxed Ti2NbCu crystal.

As for the size of the total moment: 0.00 Bohr magnetons per cell. Its formation energy is 0.008 eV per atom. The value obtained for the energy above the lowest structure with this stoichiometry is 4.6 kJ per mole of atoms.

It has space group Fm-3m (No. 225), with a = 6.330 Å, b = 6.330 Å, c = 6.330 Å, α = 90.00°, β = 90.00° and γ = 90.00°. The asymmetric unit holds Ti at (0.250, 0.250, 0.250), Nb at (0.000, 0.000, 0.000) and Cu at (0.000, 0.000, 0.500).

=====

5.
DFT (PBE) results for a relaxed Pr8OsRu2 crystal.

As for the size of the total moment: 0.00 Bohr magnetons per cell. Its formation energy is -0.028 eV per atom.

It has space group Cm (No. 8), with a = 8.442 Å, b = 13.129 Å, c = 6.399 Å, α = 90.00°, β = 111.47° and γ = 90.00°. The asymmetric unit holds Pr at (0.000, 0.000, 0.000), Pr at (0.069, 0.368, 0.776), Pr at (0.142, 0.130, 0.578), Pr at (0.203, 0.500, 0.372), Pr at (0.346, 0.207, 0.189), Os at (0.353, 0.000, 0.354) and Ru at (0.358, 0.309, 0.678).

=====

6.
DFT (PBE) results for a relaxed Zr3BAu crystal.

As for the size of the total moment: 0.00 Bohr magnetons per cell. Its formation energy is -0.327 eV per atom. The value obtained for the energy above the lowest structure with this stoichiometry is 0.0 kJ per mole of atoms.

It has space group Pm-3m (No. 221), with a = 4.601 Å, b = 4.601 Å, c = 4.601 Å, α = 90.00°, β = 90.00° and γ = 90.00°. The asymmetric unit holds Zr at (0.000, 0.000, 0.500), B at (0.000, 0.000, 0.000) and Au at (0.500, 0.500, 0.500).

=====

7.
DFT (PBE) results for a relaxed FeBPb2Se crystal.

As for the size of the total moment: 1.73 Bohr magnetons per cell. The value obtained for the total energy is -20.91 eV/cell.

It has space group P4/mmm (No. 123), with a = 5.293 Å, b = 5.293 Å, c = 4.387 Å, α = 90.00°, β = 90.00° and γ = 90.00°. The asymmetric unit holds Fe at (0.000, 0.000, 0.000), B at (0.500, 0.500, 0.500), Pb at (0.000, 0.500, 0.000) and Se at (0.000, 0.000, 0.500).

=====

8.
DFT (PBE) results for a relaxed TaCoAg2 crystal.

As for the size of the total moment: 4.04 Bohr magnetons per cell. Its formation energy is 0.416 eV per atom. The value obtained for the energy above the lowest structure with this stoichiometry is 25.2 kJ per mole of atoms.

It has space group F-43m (No. 216), with a = 6.330 Å, b = 6.330 Å, c = 6.330 Å, α = 90.00°, β = 90.00° and γ = 90.00°. The asymmetric unit holds Ta at (0.000, 0.000, 0.000), Co at (0.250, 0.250, 0.750), Ag at (0.000, 0.000, 0.500) and Ag at (0.250, 0.250, 0.250).